1.
PBE-GGA Re2Hg2I, relaxed; raw formation energy = 860 meV per atom; relative energy among the computed polymorphs = 0.00 eV/f.u.; SG = I4/mmm (139); size of the total moment = 0.0 μB per cell
1.0
-1.815 1.815 8.962
1.815 -1.815 8.962
1.815 1.815 -8.962
Re Hg I
2 2 1
Cartesian
1.815 0.000 4.481
0.000 1.815 4.481
0.000 0.000 2.129
0.000 0.000 15.795
0.000 0.000 8.962

=====

2.
PBE-GGA CsRuN2F, relaxed; raw formation energy = -97 meV per atom; relative energy among the computed polymorphs = 0.00 eV/f.u.; SG = P4/mmm (123); size of the total moment = 0.4 μB per cell
1.0
3.862 0.000 0.000
0.000 3.862 0.000
0.000 0.000 5.567
Cs Ru N F
1 1 2 1
Cartesian
0.000 0.000 0.000
1.931 1.931 2.783
0.000 1.931 2.783
1.931 0.000 2.783
1.931 1.931 0.000

=====

3.
PBE-GGA Ta2CuOs, relaxed; formation energy from the elements = 0.25 eV/atom; SG = R3m (160); size of the total moment = 0.0 μB per cell
1.0
1.444 0.834 8.990
-1.444 0.834 8.990
0.000 -1.668 8.990
Ta Cu Os
2 1 1
Cartesian
0.000 0.000 0.000
0.000 0.000 6.476
0.000 0.000 13.269
0.000 0.000 20.101